# TmTh2Pa2Co5

An optimized crystal structure of TmTh2Pa2Co5 (PBE, Alexandria via LeMat-Bulk).

Geometry as POSCAR:
```
TmTh2Pa2Co5
1.0
10.663 0.000 0.000
0.000 10.663 0.000
0.000 0.000 3.406
Tm Th Pa Co
2 4 4 10
direct
0.000 0.000 0.000 Tm
0.500 0.500 0.000 Tm
0.168 0.332 0.000 Th
0.332 0.832 0.000 Th
0.668 0.168 0.000 Th
0.832 0.668 0.000 Th
0.139 0.639 0.000 Pa
0.361 0.139 0.000 Pa
0.639 0.861 0.000 Pa
0.861 0.361 0.000 Pa
0.000 0.500 0.500 Co
0.066 0.804 0.500 Co
0.196 0.066 0.500 Co
0.304 0.566 0.500 Co
0.434 0.304 0.500 Co
0.500 0.000 0.500 Co
0.566 0.696 0.500 Co
0.696 0.434 0.500 Co
0.804 0.934 0.500 Co
0.934 0.196 0.500 Co
```

Energy relative to the elements (eV/atom): -0.09
Symmetry: No. 127